Below is crystalline KSiGe2C at its relaxed geometry, with properties calculated at the PBE level.

Summary:
space-group type	No. 123
E_form (uncorrected)	2.62	eV/atom

```
data_KSiGe2C
_cell_length_a 5.4275
_cell_length_b 4.4150
_cell_length_c 5.4275
_cell_angle_alpha 90.00
_cell_angle_beta 90.00
_cell_angle_gamma 90.00
_space_group_name_H-M_alt 'P 1'
_space_group_IT_number 1
loop_
_space_group_symop_operation_xyz
'x,y,z'
loop_
_atom_site_label
_atom_site_type_symbol
_atom_site_fract_x
_atom_site_fract_y
_atom_site_fract_z
_atom_site_occupancy
C1 C 0.0000 0.5000 0.0000 1
Ge1 Ge 0.0000 0.0000 0.5000 1
Ge2 Ge 0.5000 0.0000 0.0000 1
Si1 Si 0.5000 0.5000 0.5000 1
K1 K 0.0000 0.0000 0.0000 1
```

Below is crystalline KTl2Cd3 at its relaxed geometry, with properties calculated at the PBE level.

Summary:
space-group type	No. 12
calculated formation energy	-53	meV per atom

```
data_KTl2Cd3
_cell_length_a 4.3477
_cell_length_b 8.7504
_cell_length_c 10.4655
_cell_angle_alpha 69.70
_cell_angle_beta 78.01
_cell_angle_gamma 75.62
_space_group_name_H-M_alt 'P 1'
_space_group_IT_number 1
loop_
_space_group_symop_operation_xyz
'x,y,z'
loop_
_atom_site_label
_atom_site_type_symbol
_atom_site_fract_x
_atom_site_fract_y
_atom_site_fract_z
_atom_site_occupancy
K1 K 0.1073 0.7550 0.0305 1
K2 K 0.8927 0.2450 0.9695 1
Tl1 Tl 0.5860 0.0713 0.7568 1
Tl2 Tl 0.2244 0.3323 0.2189 1
Tl3 Tl 0.7756 0.6677 0.7811 1
Tl4 Tl 0.4140 0.9287 0.2432 1
Cd1 Cd 0.7440 0.0985 0.4135 1
Cd2 Cd 0.2560 0.9015 0.5865 1
Cd3 Cd 0.4276 0.4873 0.6575 1
Cd4 Cd 0.9227 0.7057 0.4490 1
Cd5 Cd 0.5724 0.5127 0.3425 1
Cd6 Cd 0.0773 0.2943 0.5510 1
```

Below is crystalline Pa3Tl3NiSe8 at its relaxed geometry, with properties calculated at the PBE level.

Summary:
space-group type	No. 12
E_form (uncorrected)	-0.87	eV/atom

```
data_Pa3Tl3NiSe8
_cell_length_a 8.1207
_cell_length_b 8.1003
_cell_length_c 9.2736
_cell_angle_alpha 115.79
_cell_angle_beta 90.00
_cell_angle_gamma 120.08
_space_group_name_H-M_alt 'P 1'
_space_group_IT_number 1
loop_
_space_group_symop_operation_xyz
'x,y,z'
loop_
_atom_site_label
_atom_site_type_symbol
_atom_site_fract_x
_atom_site_fract_y
_atom_site_fract_z
_atom_site_occupancy
Tl1 Tl 0.5000 0.5000 0.0000 1
Tl2 Tl 0.0000 0.5000 0.0000 1
Tl3 Tl 0.0000 0.0000 0.0000 1
Se1 Se 0.7750 0.0317 0.3067 1
Se2 Se 0.2567 0.0317 0.3067 1
Se3 Se 0.7782 0.5564 0.3092 1
Se4 Se 0.7433 0.9683 0.6933 1
Se5 Se 0.2632 0.5264 0.2900 1
Se6 Se 0.7368 0.4736 0.7100 1
Se7 Se 0.2250 0.9683 0.6933 1
Se8 Se 0.2218 0.4436 0.6908 1
Ni1 Ni 0.0000 0.0000 0.5000 1
Pa1 Pa 0.5000 0.0000 0.5000 1
Pa2 Pa 0.5000 0.5000 0.5000 1
Pa3 Pa 0.0000 0.5000 0.5000 1
```

Below is crystalline TaMoAs2Br at its relaxed geometry, with properties calculated at the PBE level.

Summary:
space-group type	No. 123
E_form (uncorrected)	0.88	eV/atom

```
data_TaMoAs2Br
_cell_length_a 4.9318
_cell_length_b 5.2541
_cell_length_c 4.9318
_cell_angle_alpha 90.00
_cell_angle_beta 90.00
_cell_angle_gamma 90.00
_space_group_name_H-M_alt 'P 1'
_space_group_IT_number 1
loop_
_space_group_symop_operation_xyz
'x,y,z'
loop_
_atom_site_label
_atom_site_type_symbol
_atom_site_fract_x
_atom_site_fract_y
_atom_site_fract_z
_atom_site_occupancy
Mo1 Mo 0.0000 0.5000 0.0000 1
As1 As 0.0000 0.0000 0.5000 1
As2 As 0.5000 0.0000 0.0000 1
Ta1 Ta 0.0000 0.0000 0.0000 1
Br1 Br 0.5000 0.5000 0.5000 1
```

no.,total magnetization (μB/cell)
1,0.00
2,0.00
3,4.20
4,2.57